Entry from the Alexandria database: a relaxed structure of CdIrBr (PBEsol).

a = 4.4550 Å, b = 4.4550 Å, c = 4.4550 Å
α = 60.00°, β = 60.00°, γ = 60.00°
With the nearest neighbours (Å) after each atom.
Sites, in units of the cell vectors:
Ir  0.2500  0.2500  0.2500  4 Cd 2.73, 4 Br 2.73
Br  0.0000  0.0000  0.0000  4 Ir 2.73
Cd  0.5000  0.5000  0.5000  4 Ir 2.73

Calculated values
ΔE_f (raw) in meV per atom: 706.6
Space group: F-43m, No. 216
Final energy in eV/atom: -3.590
Excess energy over the best structure of this formula in the dataset in eV per atom: 0.1073
DOS(E_F) in states/eV per atom: 0.919
Crystal system: cubic